This record from Alexandria describes crystalline LaYNbIr2 at its relaxed geometry. The functional is PBE.

Values from the calculation:
- Energy relative to the elements: 154.24 kJ/mol of atoms
- Spin magnetization: 0.0 Bohr magnetons per cell
- Space group: No. 123

Lattice parameters (Å, degrees): 4.877 5.199 4.877 90.00 90.00 90.00
Positions (direct):
Y 0.000 0.500 0.000
Nb 0.500 0.500 0.500
Ir 0.000 0.000 0.500
Ir 0.500 0.000 0.000
La 0.000 0.000 0.000